Density functional theory data (meta-GGA SCAN) for a PBEsol-optimized structure of RbHIr3.

Cell lengths 4.1364, 4.1364, 4.1364 Å; angles 90.00, 90.00, 90.00 degrees
Positions (direct):
Rb  0.0000  0.0000  0.0000
H  0.5000  0.5000  0.5000
Ir  0.0000  0.5000  0.5000
Ir  0.5000  0.0000  0.5000
Ir  0.5000  0.5000  0.0000

Calculated values
- Magnetization: 0.0 μB/cell
- VASP energy: -46.16 eV/atom
- Fermi-level density of states: 0.56 states/eV per atom

Density functional theory data (meta-GGA SCAN) for a PBEsol-optimized structure of RbH3Ir.

Cell lengths 4.0025, 4.0025, 4.0025 Å; angles 90.00, 90.00, 90.00 degrees
Positions (direct):
Rb  0.0000  0.0000  0.0000
H  0.0000  0.0000  0.5000
H  0.0000  0.5000  0.0000
H  0.5000  0.0000  0.0000
Ir  0.5000  0.5000  0.5000

Calculated values
- Magnetization: 1.7 μB/cell
- VASP energy: -18.18 eV/atom
- Fermi-level density of states: 0.48 states/eV per atom

Density functional theory data (meta-GGA SCAN) for a PBEsol-optimized structure of ReHIr3.

Cell lengths 4.6880, 4.6880, 4.6880 Å; angles 90.00, 90.00, 90.00 degrees
Positions (direct):
Re  0.0000  0.0000  0.0000
H  0.5000  0.5000  0.5000
Ir  0.0000  0.0000  0.5000
Ir  0.0000  0.5000  0.0000
Ir  0.5000  0.0000  0.0000

Calculated values
- Magnetization: 1.9 μB/cell
- VASP energy: -55.19 eV/atom
- Fermi-level density of states: 0.64 states/eV per atom

Density functional theory data (meta-GGA SCAN) for a PBEsol-optimized structure of ReHIr2.

Cell lengths 5.0008, 5.0008, 5.0008 Å; angles 104.80, 104.80, 119.28 degrees
Positions (direct):
Re  0.0000  0.0000  0.0000
Re  0.7500  0.2500  0.5000
H  0.2500  0.7500  0.5000
H  0.5000  0.5000  0.0000
Ir  0.2229  0.6250  0.0979
Ir  0.3750  0.4729  0.5979
Ir  0.5271  0.1250  0.9021
Ir  0.8750  0.7771  0.4021

Calculated values
- Magnetization: 0.0 μB/cell
- VASP energy: -53.84 eV/atom
- Fermi-level density of states: 0.58 states/eV per atom

Density functional theory data (meta-GGA SCAN) for a PBEsol-optimized structure of HIr2Rh.

Cell lengths 4.1079, 4.1079, 4.1079 Å; angles 60.00, 60.00, 60.00 degrees
Positions (direct):
H  0.0000  0.0000  0.0000
Ir  0.2500  0.2500  0.2500
Ir  0.7500  0.7500  0.7500
Rh  0.5000  0.5000  0.5000

Calculated values
- Magnetization: 0.0 μB/cell
- VASP energy: -44.10 eV/atom
- Fermi-level density of states: 0.15 states/eV per atom

Density functional theory data (meta-GGA SCAN) for a PBEsol-optimized structure of HIr3Rh.

Cell lengths 4.6486, 4.6486, 4.6486 Å; angles 90.00, 90.00, 90.00 degrees
Positions (direct):
H  0.0000  0.0000  0.0000
Ir  0.0000  0.5000  0.5000
Ir  0.5000  0.0000  0.5000
Ir  0.5000  0.5000  0.0000
Rh  0.5000  0.5000  0.5000

Calculated values
- Magnetization: 3.1 μB/cell
- VASP energy: -47.38 eV/atom
- Fermi-level density of states: 1.18 states/eV per atom

Density functional theory data (meta-GGA SCAN) for a PBEsol-optimized structure of H2IrRh2.

Cell lengths 6.4725, 6.4725, 6.4725 Å; angles 155.37, 155.37, 35.11 degrees
Positions (direct):
H  0.2500  0.7500  0.5000
H  0.7500  0.2500  0.5000
Ir  0.0000  0.0000  0.0000
Rh  0.3497  0.3497  0.0000
Rh  0.6503  0.6503  0.0000

Calculated values
- Magnetization: 0.4 μB/cell
- VASP energy: -29.02 eV/atom
- Fermi-level density of states: 0.84 states/eV per atom

Density functional theory data (meta-GGA SCAN) for a PBEsol-optimized structure of H3IrRu.

Cell lengths 3.3471, 3.3471, 3.3471 Å; angles 90.00, 90.00, 90.00 degrees
Positions (direct):
H  0.0000  0.0000  0.5000
H  0.0000  0.5000  0.0000
H  0.5000  0.0000  0.0000
Ir  0.5000  0.5000  0.5000
Ru  0.0000  0.0000  0.0000

Calculated values
- Magnetization: 0.0 μB/cell
- VASP energy: -22.62 eV/atom
- Fermi-level density of states: 0.36 states/eV per atom

Density functional theory data (meta-GGA SCAN) for a PBEsol-optimized structure of HIr3Ru.

Cell lengths 4.6271, 4.6271, 4.6271 Å; angles 90.00, 90.00, 90.00 degrees
Positions (direct):
H  0.0000  0.0000  0.0000
Ir  0.0000  0.5000  0.5000
Ir  0.5000  0.0000  0.5000
Ir  0.5000  0.5000  0.0000
Ru  0.5000  0.5000  0.5000

Calculated values
- Magnetization: 1.9 μB/cell
- VASP energy: -47.77 eV/atom
- Fermi-level density of states: 0.83 states/eV per atom

Density functional theory data (meta-GGA SCAN) for a PBEsol-optimized structure of HIrRu3.

Cell lengths 3.8254, 3.8254, 3.8254 Å; angles 90.00, 90.00, 90.00 degrees
Positions (direct):
H  0.0000  0.0000  0.0000
Ir  0.5000  0.5000  0.5000
Ru  0.0000  0.0000  0.5000
Ru  0.0000  0.5000  0.0000
Ru  0.5000  0.0000  0.0000

Calculated values
- Magnetization: 0.0 μB/cell
- VASP energy: -35.73 eV/atom
- Fermi-level density of states: 0.73 states/eV per atom

Density functional theory data (meta-GGA SCAN) for a PBEsol-optimized structure of SbHIr3.

Cell lengths 4.8160, 4.8160, 4.8160 Å; angles 90.00, 90.00, 90.00 degrees
Positions (direct):
Sb  0.0000  0.0000  0.0000
H  0.5000  0.5000  0.5000
Ir  0.0000  0.0000  0.5000
Ir  0.0000  0.5000  0.0000
Ir  0.5000  0.0000  0.0000

Calculated values
- Magnetization: 0.7 μB/cell
- VASP energy: -48.25 eV/atom
- Fermi-level density of states: 1.09 states/eV per atom

Density functional theory data (meta-GGA SCAN) for a PBEsol-optimized structure of SbHIr2.

Cell lengths 4.2624, 4.2624, 4.2624 Å; angles 60.00, 60.00, 60.00 degrees
Positions (direct):
Sb  0.0000  0.0000  0.0000
H  0.5000  0.5000  0.5000
Ir  0.2500  0.2500  0.2500
Ir  0.7500  0.7500  0.7500

Calculated values
- Magnetization: 0.0 μB/cell
- VASP energy: -45.17 eV/atom
- Fermi-level density of states: 0.12 states/eV per atom